Material: LaHfAsSe2
Method: DFT, GGA-PBE
State: optimized geometry

The structure in extended XYZ format:
```
5
Lattice="5.525 0.000 0.000 0.000 5.525 0.000 0.000 0.000 5.580" Properties=species:S:1:pos:R:3 pbc="T T T"
Se 2.762 0.000 0.000
Se 0.000 2.762 0.000
La 0.000 0.000 0.000
As 0.000 0.000 2.790
Hf 2.762 2.762 2.790
```

Properties
Space group: No. 123
Calculated total energy: -24.67 eV per cell
Polymorph energy (0 for the lowest one): 1474.4 meV per atom
Crystal system: tetragonal
ΔE_f (raw): 0.366 eV per atom


Material: ScAlCu2
Method: DFT, GGA-PBE
State: optimized geometry

The structure in extended XYZ format:
```
4
Lattice="4.192 0.000 0.000 0.000 3.061 0.031 0.000 1.463 4.895" Properties=species:S:1:pos:R:3 pbc="T T T"
Cu 2.096 0.558 1.278
Sc 0.000 2.078 2.171
Al 2.096 3.580 4.048
Cu 0.000 2.031 4.786
```

Properties
Space group: No. 6
Calculated total energy: -19.23 eV per cell
Formation energy: -240 meV per atom
Crystal system: monoclinic


Material: Pr6Tl5Cd
Method: DFT, GGA-PBE
State: optimized geometry

The structure in extended XYZ format:
```
12
Lattice="5.357 -0.003 -1.501 -4.013 7.765 -4.039 -0.209 -1.141 9.558" Properties=species:S:1:pos:R:3 pbc="T T T"
Pr -1.825 4.976 3.770
Tl -1.479 1.832 5.018
Pr 1.486 3.486 5.283
Tl 1.847 0.313 6.586
Pr 0.916 0.166 3.267
Pr 2.960 1.644 0.249
Tl 0.567 3.310 2.009
Pr 0.218 6.454 0.751
Tl -2.743 4.791 0.501
Cd 0.000 0.000 0.000
Tl -0.713 6.307 -2.567
Pr -0.351 3.134 -1.264
```

Properties
Space group: No. 71
Calculated total energy: -46.02 eV per cell
Formation energy: -383 meV per atom
Polymorph energy (0 for the lowest one): 0.0 meV per atom
Crystal system: orthorhombic


Material: YCr2Ag
Method: DFT, GGA-PBE
State: optimized geometry

The structure in extended XYZ format:
```
4
Lattice="-2.980 3.792 0.509 -0.456 -0.798 3.276 3.783 2.810 1.210" Properties=species:S:1:pos:R:3 pbc="T T T"
Cr -0.117 -0.431 2.528
Y -0.658 2.399 1.376
Cr 1.324 0.639 2.991
Ag 1.005 3.405 3.619
```

Properties
Space group: No. 47
Calculated total energy: -26.05 eV per cell
Formation energy: 629 meV per atom
Polymorph energy (0 for the lowest one): 385.5 meV per atom
Crystal system: orthorhombic


Material: MnP2Ru
Method: DFT, GGA-PBE
State: optimized geometry

The structure in extended XYZ format:
```
4
Lattice="-2.066 -1.031 -1.735 1.751 -1.786 1.444 -4.729 -0.058 5.666" Properties=species:S:1:pos:R:3 pbc="T T T"
P -4.684 -0.057 5.613
P -2.409 -0.029 2.887
Mn -3.704 -1.452 4.104
Ru -1.340 -1.423 1.271
```

Properties
Space group: No. 65
Calculated total energy: -28.96 eV per cell
Formation energy: 77 meV per atom
Polymorph energy (0 for the lowest one): 487.7 meV per atom
Crystal system: orthorhombic


Material: Tb8Nd
Method: DFT, GGA-PBE
State: optimized geometry

The structure in extended XYZ format:
```
9
Lattice="5.046 0.000 0.000 2.523 7.584 0.000 2.523 0.000 7.584" Properties=species:S:1:pos:R:3 pbc="T T T"
Tb 5.046 2.534 2.534
Tb 5.046 5.050 5.050
Tb 2.523 2.538 0.000
Tb 2.523 5.050 2.534
Tb 5.046 0.000 5.046
Tb 2.523 0.000 2.538
Nd 0.000 0.000 0.000
Tb 5.046 5.046 0.000
Tb 2.523 2.534 5.050
```

Properties
Space group: No. 139
Calculated total energy: -41.66 eV per cell
Formation energy: 16 meV per atom
Crystal system: tetragonal